[1]
# LiSi2Pt

A relaxed LiSi2Pt crystal (GGA-PBE, Alexandria via LeMat-Bulk).

a b c (Å): 4.324 4.324 4.685
angles (deg): 83.24 83.24 39.90
Fractional positions:
Si (0.492, 0.492, 0.499)
Li (0.250, 0.250, 0.250)
Pt (0.750, 0.750, 0.750)
Si (0.008, 0.008, 0.001)

Values from the calculation:
total moment = 0.0 μB per cell
crystal system = monoclinic
raw total energy = -20.25 eV for the cell shown
space group = C2/m



[2]
# CuH4Pt2

A relaxed CuH4Pt2 crystal (GGA-PBE, Alexandria via LeMat-Bulk).

a b c (Å): 5.912 5.706 5.592
angles (deg): 61.09 89.95 122.12
Fractional positions:
Pt (0.520, 0.999, 0.986)
Cu (0.048, 0.509, 0.483)
H (0.786, 0.059, 0.767)
H (0.374, 0.794, 0.818)
Pt (0.007, 0.994, 0.496)
H (0.371, 0.219, 0.388)
H (0.383, 0.229, 0.868)
H (0.121, 0.267, 0.113)
H (0.645, 0.222, 0.144)
Pt (0.011, 0.514, 0.980)
Cu (0.990, 0.975, 0.989)
Pt (0.493, 0.502, 0.490)
H (0.632, 0.780, 0.586)
H (0.868, 0.686, 0.393)

Values from the calculation:
total moment = 0.0 μB per cell
crystal system = triclinic
raw total energy = -58.64 eV for the cell shown
space group = P1



[3]
# HfRh

A relaxed HfRh crystal (GGA-PBE, Alexandria via LeMat-Bulk).

a b c (Å): 7.871 7.871 7.871
angles (deg): 90.00 90.00 90.00
Fractional positions:
Rh (0.130, 0.870, 0.870)
Hf (0.811, 0.811, 0.811)
Rh (0.370, 0.630, 0.370)
Rh (0.130, 0.130, 0.130)
Hf (0.811, 0.189, 0.189)
Rh (0.630, 0.370, 0.370)
Rh (0.630, 0.630, 0.630)
Hf (0.689, 0.311, 0.689)
Hf (0.189, 0.189, 0.811)
Rh (0.370, 0.370, 0.630)
Rh (0.870, 0.870, 0.130)
Hf (0.689, 0.689, 0.311)
Rh (0.870, 0.130, 0.870)
Hf (0.189, 0.811, 0.189)
Hf (0.311, 0.689, 0.689)
Hf (0.311, 0.311, 0.311)

Values from the calculation:
total moment = 0.0 μB per cell
crystal system = cubic
raw total energy = -132.33 eV for the cell shown
space group = I-43m
formation energy = 0.38 eV per atom